Run one
Material: Sm2CdTeO6
Method: DFT, GGA-PBE
State: relaxed

Results
Volume (Å³ per cell): 156
Total magnetization (Bohr magnetons per cell): 0.0

Cell: 5.899 5.899 5.658 Å, 109.37 109.37 59.22°
Atoms (fractional coordinates):
Cd 0.000 0.000 0.000
O 0.816 0.816 0.123
O 0.790 0.350 0.334
O 0.350 0.790 0.334
O 0.650 0.210 0.666
O 0.210 0.650 0.666
O 0.184 0.184 0.877
Sm 0.361 0.361 0.258
Sm 0.639 0.639 0.742
Te 0.000 0.000 0.500

Run two
Material: Sm2CdTeO6
Method: DFT, GGA-PBE
State: relaxed

Results
Volume (Å³ per cell): 142
Total magnetization (Bohr magnetons per cell): 0.0

Cell: 5.863 5.863 5.863 Å, 120.06 120.06 89.90°
Atoms (fractional coordinates):
Cd 0.000 0.000 0.000
O 0.252 0.252 0.000
O 0.748 0.748 0.000
O 0.354 0.837 0.191
O 0.837 0.646 0.483
O 0.163 0.354 0.517
O 0.646 0.163 0.809
Sm 0.750 0.250 0.500
Sm 0.250 0.750 0.500
Te 0.500 0.500 0.000

We find run two to be the most stable, with the next structure 116 meV/atom higher.

Run one
Material: Ta2Cd2O5
Method: DFT, GGA-PBE
State: relaxed

Results
Volume (Å³ per cell): 126
Total magnetization (Bohr magnetons per cell): 0.0

Cell: 8.031 3.968 3.968 Å, 90.00 90.00 90.00°
Atoms (fractional coordinates):
Cd 0.000 0.000 0.000
Cd 0.500 0.000 0.000
O 0.250 0.500 0.000
O 0.750 0.500 0.000
O 0.250 0.000 0.500
O 0.750 0.000 0.500
O 0.500 0.500 0.500
Ta 0.251 0.500 0.500
Ta 0.749 0.500 0.500

Run two
Material: Ta2Cd2O5
Method: DFT, GGA-PBE
State: relaxed

Results
Volume (Å³ per cell): 118
Total magnetization (Bohr magnetons per cell): 1.4

Cell: 10.217 3.398 3.398 Å, 90.00 90.00 90.00°
Atoms (fractional coordinates):
Cd 0.264 0.500 0.500
Cd 0.736 0.500 0.500
O 0.117 0.500 0.000
O 0.883 0.500 0.000
O 0.117 0.000 0.500
O 0.883 0.000 0.500
O 0.500 0.500 0.500
Ta 0.000 0.000 0.000
Ta 0.500 0.000 0.000

We find run one to be the most stable, with the next structure 553 meV/atom higher.

Run one
Material: Tb2Cd2O5
Method: DFT, GGA-PBE
State: relaxed

Results
Volume (Å³ per cell): 146
Total magnetization (Bohr magnetons per cell): 0.5

Cell: 8.629 4.106 4.106 Å, 90.00 90.00 90.00°
Atoms (fractional coordinates):
Cd 0.000 0.000 0.000
Cd 0.500 0.000 0.000
O 0.162 0.500 0.000
O 0.838 0.500 0.000
O 0.162 0.000 0.500
O 0.838 0.000 0.500
O 0.500 0.500 0.500
Tb 0.245 0.500 0.500
Tb 0.755 0.500 0.500

Run two
Material: Tb2Cd2O5
Method: DFT, GGA-PBE
State: relaxed

Results
Volume (Å³ per cell): 128
Total magnetization (Bohr magnetons per cell): 0.0

Cell: 7.219 4.203 4.203 Å, 90.00 90.00 90.00°
Atoms (fractional coordinates):
Cd 0.204 0.500 0.500
Cd 0.796 0.500 0.500
O 0.197 0.500 0.000
O 0.803 0.500 0.000
O 0.197 0.000 0.500
O 0.803 0.000 0.500
O 0.500 0.500 0.500
Tb 0.000 0.000 0.000
Tb 0.500 0.000 0.000

We find run one to be the most stable, with the next structure 266 meV/atom higher.

Run one
Material: Cd2Tc2O7
Method: DFT, GGA-PBE
State: relaxed

Results
Volume (Å³ per cell): 166
Total magnetization (Bohr magnetons per cell): 0.0

Cell: 5.840 5.840 5.349 Å, 95.33 95.33 112.73°
Atoms (fractional coordinates):
Cd 0.689 0.311 0.500
Cd 0.311 0.689 0.500
O 0.000 0.000 0.000
O 0.431 0.431 0.213
O 0.934 0.615 0.289
O 0.615 0.934 0.289
O 0.385 0.066 0.711
O 0.066 0.385 0.711
O 0.569 0.569 0.787
Tc 0.746 0.746 0.107
Tc 0.254 0.254 0.893

Run two
Material: Cd2Tc2O7
Method: DFT, GGA-PBE
State: relaxed

Results
Volume (Å³ per cell): 267
Total magnetization (Bohr magnetons per cell): 7.7

Cell: 7.225 7.225 7.225 Å, 120.00 90.00 120.00°
Atoms (fractional coordinates):
Cd 0.000 0.500 0.000
Cd 0.500 0.000 0.500
Cd 0.000 0.000 0.500
Cd 0.000 0.500 0.500
O 0.430 0.750 0.070
O 0.820 0.140 0.070
O 0.820 0.750 0.070
O 0.180 0.250 0.320
O 0.570 0.250 0.320
O 0.570 0.640 0.320
O 0.125 0.750 0.375
O 0.875 0.250 0.625
O 0.430 0.360 0.680
O 0.430 0.750 0.680
O 0.820 0.750 0.680
O 0.180 0.250 0.930
O 0.180 0.860 0.930
O 0.570 0.250 0.930
Tc 0.000 0.000 0.000
Tc 0.500 0.000 0.000
Tc 0.500 0.500 0.000
Tc 0.500 0.500 0.500

We find run one to be the most stable, with the next structure 18 meV/atom higher.

Run one
Material: Zn2Cd2O5
Method: DFT, GGA-PBE
State: relaxed

Results
Volume (Å³ per cell): 123

Cell: 8.615 3.784 3.784 Å, 90.00 90.00 90.00°
Atoms (fractional coordinates):
Cd 0.244 0.500 0.500
Cd 0.756 0.500 0.500
O 0.134 0.500 0.000
O 0.866 0.500 0.000
O 0.134 0.000 0.500
O 0.866 0.000 0.500
O 0.500 0.500 0.500
Zn 0.000 0.000 0.000
Zn 0.500 0.000 0.000

Run two
Material: Zn2Cd2O5
Method: DFT, GGA-PBE
State: relaxed

Results
Volume (Å³ per cell): 110

Cell: 7.860 3.737 3.737 Å, 90.00 90.00 90.00°
Atoms (fractional coordinates):
Cd 0.000 0.000 0.000
Cd 0.500 0.000 0.000
O 0.190 0.500 0.000
O 0.810 0.500 0.000
O 0.190 0.000 0.500
O 0.810 0.000 0.500
O 0.500 0.500 0.500
Zn 0.246 0.500 0.500
Zn 0.754 0.500 0.500

We find run two to be the most stable, with the next structure 419 meV/atom higher.

Run one
Material: Zr2Cd2O5
Method: DFT, GGA-PBE
State: relaxed

Results
Volume (Å³ per cell): 127
Total magnetization (Bohr magnetons per cell): 1.1

Cell: 9.846 3.588 3.588 Å, 90.00 90.00 90.00°
Atoms (fractional coordinates):
Cd 0.258 0.500 0.500
Cd 0.742 0.500 0.500
O 0.129 0.500 0.000
O 0.871 0.500 0.000
O 0.129 0.000 0.500
O 0.871 0.000 0.500
O 0.500 0.500 0.500
Zr 0.000 0.000 0.000
Zr 0.500 0.000 0.000

Run two
Material: Zr2Cd2O5
Method: DFT, GGA-PBE
State: relaxed

Results
Volume (Å³ per cell): 131
Total magnetization (Bohr magnetons per cell): 0.0

Cell: 8.329 3.962 3.962 Å, 90.00 90.00 90.00°
Atoms (fractional coordinates):
Cd 0.000 0.000 0.000
Cd 0.500 0.000 0.000
O 0.175 0.500 0.000
O 0.825 0.500 0.000
O 0.175 0.000 0.500
O 0.825 0.000 0.500
O 0.500 0.500 0.500
Zr 0.259 0.500 0.500
Zr 0.741 0.500 0.500

We find run two to be the most stable, with the next structure 778 meV/atom higher.

Run one
Material: PaCdOs
Method: DFT, GGA-PBE
State: relaxed

Results
Volume (Å³ per cell): 71
Total magnetization (Bohr magnetons per cell): 0.0

Cell: 4.648 4.648 4.648 Å, 60.00 60.00 60.00°
Atoms (fractional coordinates):
Cd 0.250 0.250 0.250
Os 0.000 0.000 0.000
Pa 0.750 0.750 0.750

Run two
Material: PaCdOs
Method: DFT, GGA-PBE
State: relaxed

Results
Volume (Å³ per cell): 74
Total magnetization (Bohr magnetons per cell): 0.0

Cell: 4.719 4.719 4.719 Å, 60.00 60.00 60.00°
Atoms (fractional coordinates):
Cd 0.250 0.250 0.250
Os 0.750 0.750 0.750
Pa 0.000 0.000 0.000

We find run one to be the most stable, with the next structure 636 meV/atom higher.

Run one
Material: PmCdOs
Method: DFT, GGA-PBE
State: relaxed

Results
Volume (Å³ per cell): 73
Total magnetization (Bohr magnetons per cell): 0.0

Cell: 4.686 4.686 4.686 Å, 60.00 60.00 60.00°
Atoms (fractional coordinates):
Cd 0.000 0.000 0.000
Os 0.250 0.250 0.250
Pm 0.750 0.750 0.750

Run two
Material: PmCdOs
Method: DFT, GGA-PBE
State: relaxed

Results
Volume (Å³ per cell): 78
Total magnetization (Bohr magnetons per cell): 0.0

Cell: 4.801 4.801 4.801 Å, 60.00 60.00 60.00°
Atoms (fractional coordinates):
Cd 0.500 0.500 0.500
Os 0.000 0.000 0.000
Pm 0.250 0.250 0.250

We find run one to be the most stable, with the next structure 293 meV/atom higher.